The following is a DFT calculation (PBEsol) of crystalline CsNiHg3 at its relaxed geometry.

Values from the calculation:
Volume   27.1 A^3/atom
Total magnetic moment   0.000 μB per formula unit

abc: 5.1349 5.1349 5.1349
angles: 90.00 90.00 90.00
Fractional coordinates of all 5 atoms:
Cs 0.0000 0.0000 0.0000
Ni 0.5000 0.5000 0.5000
Hg 0.0000 0.5000 0.5000
Hg 0.5000 0.0000 0.5000
Hg 0.5000 0.5000 0.0000

***

The following is a DFT calculation (PBEsol) of crystalline Ge2BMoPd at its relaxed geometry.

Values from the calculation:
Volume   18.5 A^3/atom
Total magnetic moment   0.000 μB per formula unit

abc: 4.7622 4.7622 4.0874
angles: 90.00 90.00 90.00
Fractional coordinates of all 5 atoms:
Ge 0.0000 0.5000 0.0000
Ge 0.5000 0.0000 0.0000
B 0.0000 0.0000 0.5000
Mo 0.0000 0.0000 0.0000
Pd 0.5000 0.5000 0.5000

***

Number 1: ΔH_f (0 K) -0.12 eV per atom. Number 2: ΔH_f (0 K) 0.92 eV per atom.